! Cr2C PBE-GGA optimized geometry; values from VASP
&SYSTEM
  ibrav = 0, nat = 6, ntyp = 2
/
ATOMIC_SPECIES
Cr 52.00 Cr.upf
C 12.01 C.upf
CELL_PARAMETERS angstrom
3.125 0.000 0.000
0.000 3.125 0.000
0.000 0.000 5.671
ATOMIC_POSITIONS crystal
Cr 0.250 0.250 0.144
Cr 0.250 0.750 0.500
Cr 0.750 0.250 0.500
Cr 0.750 0.750 0.856
C 0.250 0.250 0.782
C 0.750 0.750 0.218
! M_tot in μB/f.u.: 0.415
! E_tot in eV per cell: -55.6
! Calculated formation energy in eV per atom: 0.22